1.
Density functional theory data (PBE) for NpGe2Bi2Pt7 after structural relaxation.

a = 4.0228 Å, b = 4.0228 Å, c = 31.2187 Å
α = 90.00°, β = 90.00°, γ = 90.00°
Space group I4/mmm (No. 139)
Unique sites:
Np: 0.0000 0.0000 0.0000 (multiplicity 2)
Ge: 0.0000 0.0000 0.3804 (multiplicity 4)
Bi: 0.0000 0.0000 0.2114 (multiplicity 4)
Pt: 0.0000 0.0000 0.3022 (multiplicity 4)
Pt: 0.0000 0.0000 0.5000 (multiplicity 2)
Pt: 0.0000 0.5000 0.0705 (multiplicity 8)

Output
Its energy of formation from the pure elements is -5.26 eV per formula unit.

=====

2.
Density functional theory data (PBE) for Ge2BiO6 after structural relaxation.

a = 10.4771 Å, b = 9.6897 Å, c = 5.7334 Å
α = 90.00°, β = 109.43°, γ = 90.00°
Space group C2/c (No. 15)
Unique sites:
Ge: 0.1992 0.0784 0.2338 (multiplicity 8)
Bi: 0.0000 0.3763 0.2500 (multiplicity 4)
O: 0.1184 0.4407 0.6447 (multiplicity 8)
O: 0.1333 0.0262 0.4684 (multiplicity 8)
O: 0.1562 0.2528 0.1746 (multiplicity 8)

Output
For the uncorrected formation energy, the calculation gives -1.363 eV per atom.

=====

3.
Density functional theory data (PBE) for Ge3BiO after structural relaxation.

a = 4.6471 Å, b = 4.6471 Å, c = 4.6471 Å
α = 90.00°, β = 90.00°, γ = 90.00°
Space group Pm-3m (No. 221)
Unique sites:
Ge: 0.0000 0.0000 0.5000 (multiplicity 3)
Bi: 0.5000 0.5000 0.5000 (multiplicity 1)
O: 0.0000 0.0000 0.0000 (multiplicity 1)

Output
For the relative energy among the computed polymorphs, the calculation gives 0 meV/atom. For the uncorrected formation energy, the calculation gives -0.033 eV per atom.

=====

4.
Density functional theory data (PBE) for Ge2Bi5O12 after structural relaxation.

a = 12.7030 Å, b = 6.0556 Å, c = 7.3561 Å
α = 90.00°, β = 106.90°, γ = 90.00°
Space group C2/m (No. 12)
Unique sites:
Ge: 0.0000 0.2395 0.0000 (multiplicity 4)
Bi: 0.0000 0.0000 0.5000 (multiplicity 2)
Bi: 0.1896 0.5000 0.3539 (multiplicity 4)
Bi: 0.1901 0.5000 0.8368 (multiplicity 4)
O: 0.9999 0.0000 0.1737 (multiplicity 4)
O: 0.0005 0.5000 0.8234 (multiplicity 4)
O: 0.1434 0.2437 0.5714 (multiplicity 8)
O: 0.1549 0.2650 0.0781 (multiplicity 8)

Output
For the uncorrected formation energy, the calculation gives -1.319 eV per atom.

=====

Number 1: D(E_F) 0.982 states/eV per atom, spin magnetization 6.3 μB per cell, raw total energy -154.97 eV for the cell shown. Number 2: D(E_F) 0.189 states/eV per atom, spin magnetization 0.0 μB per cell, raw total energy -220.52 eV for the cell shown. Number 3: D(E_F) 0.469 states/eV per atom, spin magnetization 0.0 μB per cell, raw total energy -22.86 eV for the cell shown. Number 4: D(E_F) 0.228 states/eV per atom, spin magnetization 0.0 μB per cell, raw total energy -226.38 eV for the cell shown.